1.
Pr3GeBrCl after structural relaxation. Source: Alexandria via LeMat-Bulk, functional PBE-GGA.

Cell and atoms, written as POSCAR:
```
Pr3GeBrCl
1.0
-4.1294 0.6752 0.1786
-1.5055 -8.7543 -1.7120
1.2334 4.8066 10.3479
Pr Cl Ge Br
6 2 2 2
Direct
0.2500 0.5292 0.8162
0.7500 0.9554 0.1033
0.7500 0.3170 0.4652
0.2500 0.6830 0.5348
0.2500 0.0446 0.8967
0.7500 0.4708 0.1838
0.7500 0.8201 0.4496
0.2500 0.1799 0.5504
0.7500 0.7200 0.7609
0.2500 0.2800 0.2391
0.7500 0.2728 0.8568
0.2500 0.7272 0.1432
```

Properties
space group: P2_1/m (11)
raw formation energy: -1.2383 eV per atom
total moment: 0.00 μB/f.u.

---

2.
Pr4Ge2BrCl after structural relaxation. Source: Alexandria via LeMat-Bulk, functional PBE-GGA.

Cell and atoms, written as POSCAR:
```
Pr4Ge2BrCl
1.0
-0.0694 -0.4207 -6.0594
4.4961 -4.0776 0.2304
-6.2354 -2.1664 3.2669
Ge Cl Pr Br
2 1 4 1
Direct
0.1870 0.6870 0.5000
0.6870 0.1870 0.5000
0.4374 0.4374 0.0000
0.6836 0.6836 0.4932
0.9374 0.4372 0.0000
0.1904 0.1904 0.5068
0.4372 0.9374 0.0000
0.9372 0.9372 0.0000
```

Properties
space group: I4/mmm (139)
raw formation energy: -1.1624 eV per atom
total moment: 0.00 μB/f.u.

---

3.
Pr6Ge2Br3Cl after structural relaxation. Source: Alexandria via LeMat-Bulk, functional PBE-GGA.

Cell and atoms, written as POSCAR:
```
Pr6Ge2Br3Cl
1.0
-6.4252 0.5203 -3.4220
5.2319 -4.3344 -2.6651
-2.2511 -4.4473 6.1446
Cl Pr Br Ge
1 6 3 2
Direct
0.0000 0.0000 0.0000
0.2558 0.2558 0.7876
0.6032 0.9308 0.7904
0.0692 0.3968 0.2096
0.9308 0.6032 0.7904
0.7442 0.7442 0.2124
0.3968 0.0692 0.2096
0.5000 0.5000 0.5000
0.1765 0.8235 0.5000
0.8235 0.1765 0.5000
0.6657 0.3343 0.0000
0.3343 0.6657 0.0000
```

Properties
space group: C2/m (12)
raw formation energy: -1.2040 eV per atom
total moment: 0.00 μB/f.u.

---

4.
Rb2GeBr2Cl2 after structural relaxation. Source: Alexandria via LeMat-Bulk, functional PBE-GGA.

Cell and atoms, written as POSCAR:
```
Rb2GeBr2Cl2
1.0
-4.2298 0.4376 0.9521
-0.2271 -7.1302 2.2731
-0.4796 -1.2900 8.4362
Rb Br Cl Ge
2 2 2 1
Direct
0.8404 0.3282 0.3193
0.1596 0.6718 0.6807
0.4932 0.7368 0.0138
0.5068 0.2632 0.9862
0.1795 0.1619 0.6410
0.8205 0.8381 0.3590
0.0000 0.0000 0.0000
```

Properties
space group: C2/m (12)
raw formation energy: -1.3352 eV per atom
total moment: 0.00 μB/f.u.

---

5.
RbGeBrCl2 after structural relaxation. Source: Alexandria via LeMat-Bulk, functional PBE-GGA.

Cell and atoms, written as POSCAR:
```
RbGeBrCl2
1.0
5.2904 0.0000 0.0000
0.0000 5.2904 0.0000
0.0000 0.0000 5.5819
Br Rb Ge Cl
1 1 1 2
Direct
0.0000 0.0000 0.5000
0.5000 0.5000 0.5000
0.0000 0.0000 0.0000
0.5000 0.0000 0.0000
0.0000 0.5000 0.0000
```

Properties
space group: P4/mmm (123)
raw formation energy: -1.2082 eV per atom
total moment: 0.00 μB/f.u.

---

6.
Rb2GeBr5Cl after structural relaxation. Source: Alexandria via LeMat-Bulk, functional PBE-GGA.

Cell and atoms, written as POSCAR:
```
Rb2GeBr5Cl
1.0
-1.8900 3.4717 6.4631
3.3605 -6.7880 0.1618
5.6890 2.6643 -4.2347
Rb Br Ge Cl
2 5 1 1
Direct
0.5000 0.2490 0.7490
0.5000 0.7490 0.2490
0.0000 0.2340 0.7619
0.4721 0.2340 0.2340
0.0000 0.2329 0.2329
0.5279 0.7619 0.7619
0.0000 0.7619 0.2340
0.0000 0.9975 0.9975
0.0000 0.7799 0.7799
```

Properties
space group: I4mm (107)
raw formation energy: -1.1203 eV per atom
total moment: 0.00 μB/f.u.

---

What did the fourth record say?
Rb2GeBr2Cl2 after structural relaxation. Source: Alexandria via LeMat-Bulk, functional PBE-GGA.

Cell and atoms, written as POSCAR:
```
Rb2GeBr2Cl2
1.0
-4.2298 0.4376 0.9521
-0.2271 -7.1302 2.2731
-0.4796 -1.2900 8.4362
Rb Br Cl Ge
2 2 2 1
Direct
0.8404 0.3282 0.3193
0.1596 0.6718 0.6807
0.4932 0.7368 0.0138
0.5068 0.2632 0.9862
0.1795 0.1619 0.6410
0.8205 0.8381 0.3590
0.0000 0.0000 0.0000
```

Properties
space group: C2/m (12)
raw formation energy: -1.3352 eV per atom
total moment: 0.00 μB/f.u.